1.
The following is a GGA-PBE calculation of an optimized crystal structure of MnCu2PdS4, from Alexandria.

The structure in POSCAR format:
```
MnCu2PdS4
1.0
-3.761 3.184 -2.075
-3.771 -2.919 2.418
4.059 2.882 3.923
Pd S Cu Mn
1 4 2 1
direct
0.003 0.003 0.006
0.610 0.610 0.750
0.393 0.856 0.249
0.140 0.140 0.750
0.856 0.393 0.249
0.250 0.750 0.500
0.750 0.250 0.500
0.498 0.498 0.997
```

Computed properties:
SG: No. 42
Magnetic moment: 1.51 μB/cell
Formation energy from raw total energies: -303 meV/atom
Crystal system: orthorhombic

2.
The following is a GGA-PBE calculation of an optimized crystal structure of FeNi2As, from Alexandria.

The structure in POSCAR format:
```
FeNi2As
1.0
-2.457 0.787 3.491
-0.912 -1.463 3.983
2.840 2.439 2.238
Fe Ni As
1 2 1
direct
0.257 0.257 0.228
0.746 0.746 0.745
0.000 0.000 0.008
0.496 0.496 0.519
```

Computed properties:
SG: No. 8
Magnetic moment: 3.25 μB/cell
Formation energy from the elements: 0 meV/atom
Crystal system: monoclinic

3.
The following is a GGA-PBE calculation of an optimized crystal structure of TbNdGaRu, from Alexandria.

The structure in POSCAR format:
```
TbNdGaRu
1.0
4.041 0.000 0.000
0.000 4.346 0.000
-2.021 0.000 5.424
Ga Nd Ru Tb
1 1 1 1
direct
0.563 0.500 0.126
0.144 0.000 0.288
0.432 0.000 0.864
0.861 0.500 0.722
```

Computed properties:
SG: No. 38
Magnetic moment: 0.00 μB/cell
Formation energy from the elements: -429 meV/atom
Crystal system: orthorhombic

4.
The following is a GGA-PBE calculation of an optimized crystal structure of Na2NbSnO6, from Alexandria.

The structure in POSCAR format:
```
Na2NbSnO6
1.0
5.725 0.000 0.000
0.001 5.725 0.000
2.863 2.862 4.048
O Na Nb Sn
6 2 1 1
direct
0.246 0.246 0.507
0.754 0.754 0.493
0.754 0.246 0.000
0.246 0.754 0.000
0.754 0.754 0.000
0.246 0.246 0.000
0.750 0.250 0.500
0.250 0.750 0.500
0.000 0.000 0.000
0.500 0.500 0.000
```

Computed properties:
SG: No. 225
Magnetic moment: 0.68 μB/cell
Formation energy from raw total energies: -1843 meV/atom
Crystal system: cubic

What did the third record say?
The following is a GGA-PBE calculation of an optimized crystal structure of TbNdGaRu, from Alexandria.

The structure in POSCAR format:
```
TbNdGaRu
1.0
4.041 0.000 0.000
0.000 4.346 0.000
-2.021 0.000 5.424
Ga Nd Ru Tb
1 1 1 1
direct
0.563 0.500 0.126
0.144 0.000 0.288
0.432 0.000 0.864
0.861 0.500 0.722
```

Computed properties:
SG: No. 38
Magnetic moment: 0.00 μB/cell
Formation energy from the elements: -429 meV/atom
Crystal system: orthorhombic

What did the first record say?
The following is a GGA-PBE calculation of an optimized crystal structure of MnCu2PdS4, from Alexandria.

The structure in POSCAR format:
```
MnCu2PdS4
1.0
-3.761 3.184 -2.075
-3.771 -2.919 2.418
4.059 2.882 3.923
Pd S Cu Mn
1 4 2 1
direct
0.003 0.003 0.006
0.610 0.610 0.750
0.393 0.856 0.249
0.140 0.140 0.750
0.856 0.393 0.249
0.250 0.750 0.500
0.750 0.250 0.500
0.498 0.498 0.997
```

Computed properties:
SG: No. 42
Magnetic moment: 1.51 μB/cell
Formation energy from raw total energies: -303 meV/atom
Crystal system: orthorhombic